CaHg2HPb: relaxed, GGA-PBE.

Values from the calculation:
electronic total energy	-2.121	eV per atom
D(E_F)	1.32	states/eV per cell
space group	P4/mmm

Geometry as extended XYZ:
```
5
Lattice="5.163 0.000 0.000 0.000 5.163 0.000 0.000 0.000 4.292" Properties=species:S:1:pos:R:3 pbc="T T T"
Hg 2.582 0.000 0.000
Hg 0.000 2.582 0.000
Ca 0.000 0.000 2.146
Pb 2.582 2.582 2.146
H 0.000 0.000 0.000
```